Record 1
Entry from Alexandria: crystalline Ba2CdSnH at its relaxed geometry (PBE-GGA).

```
Ba2CdSnH
1.0
-3.3399 4.7844 -0.0507
-3.1904 -2.1808 4.3718
2.7560 1.9555 2.9867
Ba H Sn Cd
2 1 1 1
Cartesian
-1.5952 -1.0904 2.1859
-1.6699 2.3922 -0.0254
0.0000 0.0000 0.0000
1.3780 0.9778 1.4934
-1.8872 2.2796 3.6539
```

Offset from the most stable computed form (meV per atom): 44
Electronic total energy (eV/atom): -2.787

---

Record 2
Entry from Alexandria: crystalline MgGeP2O at its relaxed geometry (PBE-GGA).

```
MgGeP2O
1.0
5.0444 0.0000 0.0000
0.0000 5.0444 0.0000
0.0000 0.0000 3.6112
Mg Ge O P
1 1 1 2
Cartesian
0.0000 0.0000 0.0000
2.5222 2.5222 1.8056
0.0000 0.0000 1.8056
0.0000 2.5222 0.0000
2.5222 0.0000 0.0000
```

Offset from the most stable computed form (meV per atom): 286
Formation energy without anion corrections (eV per atom): 0.3381
Electronic total energy (eV/atom): -4.060

---

Record 3
Entry from Alexandria: crystalline CsPu2ZnF8 at its relaxed geometry (PBE-GGA).

```
CsPu2ZnF8
1.0
-1.1113 -3.1672 2.1343
0.5423 -3.7143 -6.0764
7.3533 -0.2705 3.3350
F Pu Cs Zn
8 2 1 1
Cartesian
6.8054 -2.2297 3.0529
1.8964 -2.2809 -2.8564
3.5346 -4.2708 -1.4264
0.6786 -3.8621 1.5699
6.1057 -3.2900 -2.1770
4.8879 -4.8711 2.2494
-0.0212 -4.9223 -3.6600
3.2497 -2.8812 0.8194
1.4912 -3.2125 -0.7348
5.2930 -3.9395 0.1277
3.6766 -0.1353 1.6675
0.0000 0.0000 0.0000
```

Formation energy without anion corrections (eV per atom): -2.9958
Electronic total energy (eV/atom): -6.809